Entry 1:
# GGA-PBE CdReHg2Sb, relaxed
data_CdReHg2Sb
_cell_length_a 5.3087
_cell_length_b 5.7193
_cell_length_c 5.3087
_cell_angle_alpha 90.00
_cell_angle_beta 90.00
_cell_angle_gamma 90.00
_symmetry_space_group_name_H-M 'P 1'
_symmetry_Int_Tables_number 1
_symmetry_space_group_name_Hall 'P 1'
loop_
_atom_site_label
_atom_site_type_symbol
_atom_site_fract_x
_atom_site_fract_y
_atom_site_fract_z
Sb1 Sb 0.0000 0.5000 0.0000
Re1 Re 0.5000 0.5000 0.5000
Hg1 Hg 0.0000 0.0000 0.5000
Hg2 Hg 0.5000 0.0000 0.0000
Cd1 Cd 0.0000 0.0000 0.0000
# total magnetic moment	4.58	Bohr magnetons per cell
# raw total energy	-2.100	eV per atom



Entry 2:
# GGA-PBE Ta2CdReHg, relaxed
data_Ta2CdReHg
_cell_length_a 4.9343
_cell_length_b 4.8512
_cell_length_c 4.9343
_cell_angle_alpha 90.00
_cell_angle_beta 90.00
_cell_angle_gamma 90.00
_symmetry_space_group_name_H-M 'P 1'
_symmetry_Int_Tables_number 1
_symmetry_space_group_name_Hall 'P 1'
loop_
_atom_site_label
_atom_site_type_symbol
_atom_site_fract_x
_atom_site_fract_y
_atom_site_fract_z
Hg1 Hg 0.5000 0.5000 0.5000
Re1 Re 0.0000 0.5000 0.0000
Ta1 Ta 0.5000 0.0000 0.0000
Ta2 Ta 0.0000 0.0000 0.5000
Cd1 Cd 0.0000 0.0000 0.0000
# total magnetic moment	0.28	Bohr magnetons per cell
# DFT formation energy	2.364	eV/atom



Entry 3:
# GGA-PBE CdReTcHg2, relaxed
data_CdReTcHg2
_cell_length_a 5.3478
_cell_length_b 4.6799
_cell_length_c 5.3478
_cell_angle_alpha 90.00
_cell_angle_beta 90.00
_cell_angle_gamma 90.00
_symmetry_space_group_name_H-M 'P 1'
_symmetry_Int_Tables_number 1
_symmetry_space_group_name_Hall 'P 1'
loop_
_atom_site_label
_atom_site_type_symbol
_atom_site_fract_x
_atom_site_fract_y
_atom_site_fract_z
Hg1 Hg 0.0000 0.0000 0.5000
Hg2 Hg 0.5000 0.0000 0.0000
Cd1 Cd 0.5000 0.5000 0.5000
Re1 Re 0.0000 0.0000 0.0000
Tc1 Tc 0.0000 0.5000 0.0000
# total magnetic moment	1.82	Bohr magnetons per cell
# DFT formation energy	1.205	eV/atom



Entry 4:
# GGA-PBE TiCdReHg2, relaxed
data_TiCdReHg2
_cell_length_a 5.1216
_cell_length_b 5.2709
_cell_length_c 5.1216
_cell_angle_alpha 90.00
_cell_angle_beta 90.00
_cell_angle_gamma 90.00
_symmetry_space_group_name_H-M 'P 1'
_symmetry_Int_Tables_number 1
_symmetry_space_group_name_Hall 'P 1'
loop_
_atom_site_label
_atom_site_type_symbol
_atom_site_fract_x
_atom_site_fract_y
_atom_site_fract_z
Re1 Re 0.5000 0.5000 0.5000
Ti1 Ti 0.0000 0.5000 0.0000
Cd1 Cd 0.0000 0.0000 0.0000
Hg1 Hg 0.5000 0.0000 0.0000
Hg2 Hg 0.0000 0.0000 0.5000
# total magnetic moment	2.12	Bohr magnetons per cell
# DFT formation energy	1.759	eV/atom



Entry 5:
# GGA-PBE CdHg2Rh, relaxed
data_CdHg2Rh
_cell_length_a 4.7792
_cell_length_b 4.7792
_cell_length_c 4.7792
_cell_angle_alpha 60.00
_cell_angle_beta 60.00
_cell_angle_gamma 60.00
_symmetry_space_group_name_H-M 'P 1'
_symmetry_Int_Tables_number 1
_symmetry_space_group_name_Hall 'P 1'
loop_
_atom_site_label
_atom_site_type_symbol
_atom_site_fract_x
_atom_site_fract_y
_atom_site_fract_z
Cd1 Cd 0.5000 0.5000 0.5000
Rh1 Rh 0.2500 0.2500 0.2500
Hg1 Hg 0.7500 0.7500 0.7500
Hg2 Hg 0.0000 0.0000 0.0000
# total magnetic moment	0.00	Bohr magnetons per cell
# DFT formation energy	0.186	eV/atom



Entry 6:
# GGA-PBE CdHg2Rh, relaxed
data_CdHg2Rh
_cell_length_a 6.8653
_cell_length_b 6.8653
_cell_length_c 6.8653
_cell_angle_alpha 154.40
_cell_angle_beta 140.78
_cell_angle_gamma 47.43
_symmetry_space_group_name_H-M 'P 1'
_symmetry_Int_Tables_number 1
_symmetry_space_group_name_Hall 'P 1'
loop_
_atom_site_label
_atom_site_type_symbol
_atom_site_fract_x
_atom_site_fract_y
_atom_site_fract_z
Hg1 Hg 0.5040 0.0040 0.5000
Cd1 Cd 0.1854 0.1854 0.0000
Hg2 Hg 0.8105 0.8105 0.0000
Rh1 Rh 0.0002 0.5002 0.5000
# total magnetic moment	0.00	Bohr magnetons per cell
# DFT formation energy	0.022	eV/atom



Entry 7:
# GGA-PBE Cd6HgRh, relaxed
data_Cd6HgRh
_cell_length_a 7.4216
_cell_length_b 9.4363
_cell_length_c 8.0618
_cell_angle_alpha 28.39
_cell_angle_beta 44.79
_cell_angle_gamma 51.81
_symmetry_space_group_name_H-M 'P 1'
_symmetry_Int_Tables_number 1
_symmetry_space_group_name_Hall 'P 1'
loop_
_atom_site_label
_atom_site_type_symbol
_atom_site_fract_x
_atom_site_fract_y
_atom_site_fract_z
Rh1 Rh 0.5000 0.5000 0.5000
Hg1 Hg 0.0000 0.0000 0.0000
Cd1 Cd 0.4012 0.5193 0.2135
Cd2 Cd 0.2880 0.9856 0.2905
Cd3 Cd 0.0258 0.5065 0.1896
Cd4 Cd 0.5988 0.4807 0.7865
Cd5 Cd 0.7120 0.0144 0.7095
Cd6 Cd 0.9742 0.4935 0.8104
# total magnetic moment	0.00	Bohr magnetons per cell
# DFT formation energy	-0.010	eV/atom



Entry 8:
# GGA-PBE CdHg2Rh, relaxed
data_CdHg2Rh
_cell_length_a 9.5148
_cell_length_b 9.5148
_cell_length_c 9.5148
_cell_angle_alpha 19.14
_cell_angle_beta 19.14
_cell_angle_gamma 19.14
_symmetry_space_group_name_H-M 'P 1'
_symmetry_Int_Tables_number 1
_symmetry_space_group_name_Hall 'P 1'
loop_
_atom_site_label
_atom_site_type_symbol
_atom_site_fract_x
_atom_site_fract_y
_atom_site_fract_z
Hg1 Hg 0.2434 0.2434 0.2434
Rh1 Rh 0.5000 0.5000 0.5000
Hg2 Hg 0.7566 0.7566 0.7566
Cd1 Cd 0.0000 0.0000 0.0000
# total magnetic moment	0.14	Bohr magnetons per cell
# DFT formation energy	0.189	eV/atom



Entry 9:
# GGA-PBE Cd3HgRh, relaxed
data_Cd3HgRh
_cell_length_a 8.4769
_cell_length_b 7.1889
_cell_length_c 9.0467
_cell_angle_alpha 90.00
_cell_angle_beta 128.12
_cell_angle_gamma 90.00
_symmetry_space_group_name_H-M 'P 1'
_symmetry_Int_Tables_number 1
_symmetry_space_group_name_Hall 'P 1'
loop_
_atom_site_label
_atom_site_type_symbol
_atom_site_fract_x
_atom_site_fract_y
_atom_site_fract_z
Cd1 Cd 0.4763 0.7506 0.3473
Rh1 Rh 0.5414 0.7473 0.0596
Rh2 Rh 0.0414 0.7527 0.0596
Hg1 Hg 0.2068 0.4476 0.3104
Cd2 Cd 0.7501 0.5005 0.9988
Cd3 Cd 0.0237 0.2506 0.6527
Cd4 Cd 0.2501 0.9995 0.9988
Cd5 Cd 0.2949 0.5509 0.6940
Cd6 Cd 0.9763 0.7494 0.3473
Cd7 Cd 0.2051 0.0509 0.3060
Cd8 Cd 0.5237 0.2494 0.6527
Cd9 Cd 0.7051 0.4491 0.3060
Hg2 Hg 0.7932 0.5524 0.6896
Cd10 Cd 0.2499 0.4995 0.0012
Rh3 Rh 0.4586 0.2527 0.9404
Hg3 Hg 0.2932 0.9476 0.6896
Cd11 Cd 0.7949 0.9491 0.6940
Rh4 Rh 0.9586 0.2473 0.9404
Hg4 Hg 0.7068 0.0524 0.3104
Cd12 Cd 0.7499 0.0005 0.0012
# total magnetic moment	0.00	Bohr magnetons per cell
# energy above the most stable polymorph in this dataset	0.0	meV per atom
# DFT formation energy	-0.046	eV/atom



Entry 10:
# GGA-PBE CdHgRh, relaxed
data_CdHgRh
_cell_length_a 4.5747
_cell_length_b 4.5747
_cell_length_c 3.0799
_cell_angle_alpha 90.00
_cell_angle_beta 90.00
_cell_angle_gamma 120.00
_symmetry_space_group_name_H-M 'P 1'
_symmetry_Int_Tables_number 1
_symmetry_space_group_name_Hall 'P 1'
loop_
_atom_site_label
_atom_site_type_symbol
_atom_site_fract_x
_atom_site_fract_y
_atom_site_fract_z
Rh1 Rh 0.6667 0.3333 0.6654
Hg1 Hg 0.3333 0.6667 0.3239
Cd1 Cd 0.0000 0.0000 0.0106
# total magnetic moment	0.00	Bohr magnetons per cell
# energy above the most stable polymorph in this dataset	205.2	meV per atom
# DFT formation energy	0.114	eV/atom



Entry 11:
# GGA-PBE CdHg2Rh, relaxed
data_CdHg2Rh
_cell_length_a 4.0225
_cell_length_b 3.1779
_cell_length_c 6.1455
_cell_angle_alpha 89.98
_cell_angle_beta 90.00
_cell_angle_gamma 90.00
_symmetry_space_group_name_H-M 'P 1'
_symmetry_Int_Tables_number 1
_symmetry_space_group_name_Hall 'P 1'
loop_
_atom_site_label
_atom_site_type_symbol
_atom_site_fract_x
_atom_site_fract_y
_atom_site_fract_z
Hg1 Hg 0.0000 0.0000 0.9944
Rh1 Rh 0.0000 0.0000 0.5064
Hg2 Hg 0.5000 0.5000 0.2720
Cd1 Cd 0.5000 0.5000 0.7272
# total magnetic moment	0.00	Bohr magnetons per cell
# DFT formation energy	0.109	eV/atom



Entry 12:
# GGA-PBE CdHgRh3, relaxed
data_CdHgRh3
_cell_length_a 4.9021
_cell_length_b 4.9021
_cell_length_c 4.9021
_cell_angle_alpha 90.00
_cell_angle_beta 90.00
_cell_angle_gamma 90.00
_symmetry_space_group_name_H-M 'P 1'
_symmetry_Int_Tables_number 1
_symmetry_space_group_name_Hall 'P 1'
loop_
_atom_site_label
_atom_site_type_symbol
_atom_site_fract_x
_atom_site_fract_y
_atom_site_fract_z
Hg1 Hg 0.5000 0.5000 0.5000
Rh1 Rh 0.0000 0.0000 0.5000
Rh2 Rh 0.0000 0.5000 0.0000
Rh3 Rh 0.5000 0.0000 0.0000
Cd1 Cd 0.0000 0.0000 0.0000
# total magnetic moment	2.80	Bohr magnetons per cell
# energy above the most stable polymorph in this dataset	0.0	meV per atom
# DFT formation energy	1.452	eV/atom



- total magnetic moment of number 3 (CdReTcHg2)?
  1.82 Bohr magnetons per cell



- Look up the total magnetic moment of the fifth one.
  0.00 Bohr magnetons per cell



- What is the total magnetic moment in the eighth record?
  0.14 Bohr magnetons per cell



- Look up the total magnetic moment of the third one.
  1.82 Bohr magnetons per cell